Record 1
A plane-wave DFT calculation with GGA-PBEsol was carried out for a relaxed structure of BeSi2Bi.

Cell: 7.388 7.388 7.388 Å, 139.08 139.08 59.26°
Element x y z (fractional)
Be1 0.000 0.000 0.000
Be2 0.750 0.250 0.500
Si1 0.014 0.625 0.889
Si2 0.375 0.264 0.389
Si3 0.736 0.125 0.111
Si4 0.875 0.986 0.611
Bi1 0.250 0.750 0.500
Bi2 0.500 0.500 0.000

ΔE_f (raw)	1.9	eV per formula unit
N(E_F)	0.300	states/eV per atom
energy	-35.745	eV/cell
crystal system	tetragonal



Record 2
A plane-wave DFT calculation with GGA-PBEsol was carried out for a relaxed structure of SrBe2Bi.

Cell: 9.639 9.639 9.639 Å, 151.90 151.90 40.16°
Element x y z (fractional)
Sr1 0.375 0.625 0.750
Sr2 0.625 0.375 0.250
Be1 0.000 0.000 0.000
Be2 0.000 0.000 0.500
Be3 0.000 0.500 0.000
Be4 0.500 0.000 0.500
Bi1 0.125 0.875 0.250
Bi2 0.875 0.125 0.750

N(E_F)	0.217	states/eV per atom
formation energy from the elements	0.257	eV/atom
energy	-26.196	eV/cell
crystal system	tetragonal